# 1
## PmPr3Tc (PBE)

Data for crystalline PmPr3Tc at its relaxed geometry.

POSCAR file:
```
PmPr3Tc
1.0
5.568 0.000 0.000
0.000 5.568 0.000
0.000 0.000 5.568
Pr Tc Pm
3 1 1
direct
0.500 0.000 0.000
0.000 0.500 0.000
0.000 0.000 0.500
0.000 0.000 0.000
0.500 0.500 0.500
```

Output
DOS at the Fermi energy in states/eV/cell: 7.791
Volume in Å³ per atom: 34.524
Energy of formation from the pure elements in eV per atom: 0.2190
Spin magnetization in μB/f.u.: 0.41
E in Ry per atom: -0.417
Relative energy among the computed polymorphs in meV per atom: 67.9

# 2
## CdCu2Hg2Pd5 (PBE)

Data for crystalline CdCu2Hg2Pd5 at its relaxed geometry.

POSCAR file:
```
CdCu2Hg2Pd5
1.0
4.023 0.000 0.000
0.000 9.174 0.000
0.000 0.000 9.174
Cu Pd Hg Cd
4 10 4 2
direct
0.000 0.124 0.624
0.000 0.876 0.376
0.000 0.376 0.124
0.000 0.624 0.876
0.500 0.417 0.301
0.500 0.801 0.917
0.500 0.699 0.417
0.500 0.583 0.699
0.500 0.917 0.199
0.500 0.000 0.500
0.500 0.083 0.801
0.500 0.500 0.000
0.500 0.199 0.083
0.500 0.301 0.583
0.000 0.170 0.330
0.000 0.330 0.830
0.000 0.670 0.170
0.000 0.830 0.670
0.000 0.500 0.500
0.000 0.000 0.000
```

Output
DOS at the Fermi energy in states/eV/cell: 8.473
Volume in Å³ per atom: 16.926
Energy of formation from the pure elements in eV per atom: -0.0967
Spin magnetization in μB/f.u.: 0.00
E in Ry per atom: -0.269

# 3
## Pm2Pr3Dy7 (PBE)

Data for crystalline Pm2Pr3Dy7 at its relaxed geometry.

POSCAR file:
```
Pm2Pr3Dy7
1.0
-2.180 -1.530 2.427
3.557 -4.680 0.245
9.193 9.012 13.938
Pr Pm Dy
3 2 7
direct
0.500 0.500 0.000
0.000 0.778 0.632
0.000 0.222 0.368
0.500 0.290 0.708
0.500 0.710 0.292
0.000 0.690 0.143
0.000 0.310 0.857
0.500 0.257 0.538
0.000 0.000 0.000
0.500 0.192 0.173
0.500 0.808 0.827
0.500 0.743 0.462
```

Output
DOS at the Fermi energy in states/eV/cell: 14.689
Volume in Å³ per atom: 33.471
Energy of formation from the pure elements in eV per atom: 0.0838
Spin magnetization in μB/f.u.: 0.00
E in Ry per atom: -0.337